Compound: Tl2In2Ag
Source: the Alexandria database
Functional: PBE
Structure: relaxed

Cell and atoms, written as POSCAR:
```
Tl2In2Ag
1.0
7.3440 0.0000 0.0000
0.0000 7.3440 0.0000
0.0000 0.0000 5.2033
Tl Ag In
4 2 4
Direct
0.1700 0.6700 0.5000
0.6700 0.8300 0.5000
0.8300 0.3300 0.5000
0.3300 0.1700 0.5000
0.0000 0.0000 0.0000
0.5000 0.5000 0.0000
0.3545 0.8545 0.0000
0.8545 0.6455 0.0000
0.6455 0.1455 0.0000
0.1455 0.3545 0.0000
```

Output
The value obtained for the energy above the most stable polymorph in this dataset is 42 meV per atom. As for the space group: P4/mbm.

Compound: TlInAg
Source: the Alexandria database
Functional: PBE
Structure: relaxed

Cell and atoms, written as POSCAR:
```
TlInAg
1.0
3.4481 0.0000 -0.1144
0.0000 4.7682 0.0000
-0.4319 0.0000 9.1819
Tl In Ag
2 2 2
Direct
0.7769 0.2500 0.0896
0.2231 0.7500 0.9104
0.0192 0.2500 0.6707
0.9808 0.7500 0.3293
0.4697 0.2500 0.3984
0.5303 0.7500 0.6016
```

Output
The value obtained for the energy above the most stable polymorph in this dataset is 0 meV per atom. As for the space group: P2_1/m.

Compound: TlIn2Ag
Source: the Alexandria database
Functional: PBE
Structure: relaxed

Cell and atoms, written as POSCAR:
```
TlIn2Ag
1.0
-3.2429 2.7938 2.2038
-1.9563 0.1938 -3.1243
-3.8789 -4.6152 0.1430
Tl Ag In
1 1 2
Direct
0.0000 0.5324 0.5533
0.5000 0.9602 0.7252
0.0000 0.7997 0.0167
0.5000 0.2077 0.2048
```

Output
As for the space group: Pm.

Compound: TlInAg
Source: the Alexandria database
Functional: PBE
Structure: relaxed

Cell and atoms, written as POSCAR:
```
TlInAg
1.0
-0.6338 6.2533 -1.7734
-2.8065 5.8200 0.9408
2.2098 1.7877 2.0485
Tl Ag In
1 1 1
Direct
0.6574 0.6574 0.3426
0.9912 0.9912 0.0088
0.3513 0.3513 0.6487
```

Output
The value obtained for the energy above the most stable polymorph in this dataset is 30 meV per atom. As for the space group: I4mm.

Compound: TlIn2Ag2
Source: the Alexandria database
Functional: PBE
Structure: relaxed

Cell and atoms, written as POSCAR:
```
TlIn2Ag2
1.0
8.7866 0.0000 0.0000
0.0000 8.7866 0.0000
0.0000 0.0000 3.0615
Tl Ag In
2 4 4
Direct
0.0000 0.0000 0.0000
0.5000 0.5000 0.0000
0.1672 0.6672 0.5000
0.6672 0.8328 0.5000
0.8328 0.3328 0.5000
0.3328 0.1672 0.5000
0.3700 0.8700 0.0000
0.8700 0.6300 0.0000
0.6300 0.1300 0.0000
0.1300 0.3700 0.0000
```

Output
The value obtained for the energy above the most stable polymorph in this dataset is 4 meV per atom. As for the space group: P4/mbm.

Compound: TlIn10Ag3
Source: the Alexandria database
Functional: PBE
Structure: relaxed

Cell and atoms, written as POSCAR:
```
TlIn10Ag3
1.0
8.8243 0.0000 5.0947
2.9414 8.3196 5.0947
0.0000 0.0000 10.1894
Tl In Ag
2 20 6
Direct
0.2500 0.2500 0.2500
0.7500 0.7500 0.7500
0.0000 0.0000 0.3443
0.0000 0.3443 0.0000
0.3443 0.0000 0.0000
0.6557 0.3443 0.0000
0.3790 0.3790 0.3790
0.1371 0.6210 0.6210
0.3790 0.8629 0.3790
0.6557 0.0000 0.3443
0.3790 0.3790 0.8629
0.8629 0.3790 0.3790
0.6210 0.6210 0.1371
0.0000 0.0000 0.6557
0.3443 0.6557 0.0000
0.0000 0.6557 0.3443
0.0000 0.3443 0.6557
0.6557 0.0000 0.0000
0.6210 0.6210 0.6210
0.0000 0.6557 0.0000
0.6210 0.1371 0.6210
0.3443 0.0000 0.6557
0.7303 0.7303 0.2697
0.7303 0.2697 0.7303
0.2697 0.7303 0.7303
0.2697 0.2697 0.7303
0.7303 0.2697 0.2697
0.2697 0.7303 0.2697
```

Output
As for the space group: Fm-3m.

Compound: TlIn2Ag
Source: the Alexandria database
Functional: PBE
Structure: relaxed

Cell and atoms, written as POSCAR:
```
TlIn2Ag
1.0
-1.4820 2.9683 0.6219
-2.7265 -1.0010 -1.7195
-3.4812 -3.2967 7.4395
Tl Ag In
1 1 2
Direct
0.0000 0.0000 0.5289
0.5000 0.5000 0.7653
0.0000 0.0000 0.9687
0.5000 0.5000 0.2371
```

Output
As for the space group: P4mm.

Compound: TlIn2Ag
Source: the Alexandria database
Functional: PBE
Structure: relaxed

Cell and atoms, written as POSCAR:
```
TlIn2Ag
1.0
-2.8728 3.8917 -2.9450
-3.8304 -2.6509 -3.2205
1.1387 -0.3997 5.5331
Tl Ag In
1 1 2
Direct
0.5000 0.5000 0.0000
0.7500 0.2500 0.5000
0.0000 0.0000 0.0000
0.2500 0.7500 0.5000
```

Output
As for the space group: I-4m2.

Compound: TlIn2Ag
Source: the Alexandria database
Functional: PBE
Structure: relaxed

Cell and atoms, written as POSCAR:
```
TlIn2Ag
1.0
6.1123 -0.0738 0.0958
2.6883 5.4899 -0.0958
-3.8153 -3.6587 3.0713
Tl Ag In
1 1 2
Direct
0.5182 0.5182 0.0000
0.7577 0.2577 0.5000
0.9793 0.9793 0.0000
0.2448 0.7448 0.5000
```

Output
As for the space group: Imm2.

Compound: TlIn6Ag
Source: the Alexandria database
Functional: PBE
Structure: relaxed

Cell and atoms, written as POSCAR:
```
TlIn6Ag
1.0
-3.1479 0.7943 3.2243
-6.1873 -4.8376 -4.8490
4.4726 -1.7151 4.7892
Tl In Ag
1 6 1
Direct
0.5000 0.1284 0.2569
0.5000 0.6294 0.7518
0.5000 0.1225 0.7518
0.0000 0.8525 0.2612
0.0000 0.4087 0.2612
0.0000 0.3731 0.7461
0.0000 0.8840 0.7679
0.5000 0.6015 0.2031
```

Output
As for the space group: Amm2.

Compound: TlIn2Ag
Source: the Alexandria database
Functional: PBE
Structure: relaxed

Cell and atoms, written as POSCAR:
```
TlIn2Ag
1.0
3.4625 0.0000 0.0000
1.7313 2.9987 0.0000
1.7313 0.9996 9.8735
Tl In Ag
1 2 1
Direct
0.5003 0.5003 0.4990
0.0736 0.0736 0.7791
0.2595 0.2595 0.2215
0.6665 0.6665 0.0004
```

Output
As for the space group: R3m.

Compound: Tl2In6Ag
Source: the Alexandria database
Functional: PBE
Structure: relaxed

Cell and atoms, written as POSCAR:
```
Tl2In6Ag
1.0
-2.1550 -2.3859 0.1424
4.0691 -4.1227 -7.3285
6.8950 -6.1574 1.3443
Tl In Ag
2 6 1
Direct
0.0000 0.3332 0.3332
0.0000 0.6668 0.6668
0.4982 0.6759 0.0001
0.5018 0.9999 0.3241
0.5018 0.3241 0.9999
0.5000 0.6756 0.3244
0.4982 0.0001 0.6759
0.5000 0.3244 0.6756
0.0000 0.0000 0.0000
```

Output
As for the space group: C2/m.

Compound: TlIn6Ag6
Source: the Alexandria database
Functional: PBE
Structure: relaxed

Cell and atoms, written as POSCAR:
```
TlIn6Ag6
1.0
-2.4941 1.0933 5.1926
-7.6068 -0.0520 -0.3324
-1.3779 -6.3410 3.9837
Tl In Ag
1 6 6
Direct
0.0000 0.0000 0.0000
0.3436 0.6564 0.6564
0.6564 0.3436 0.3436
0.0000 0.3480 0.6520
0.0000 0.6520 0.3480
0.3185 0.1815 0.1815
0.6815 0.8185 0.8185
0.0000 0.5000 0.0000
0.5000 0.5000 0.0000
0.0000 0.0000 0.5000
0.5000 0.0000 0.5000
0.5000 0.7609 0.2391
0.5000 0.2391 0.7609
```

Output
As for the space group: Immm.

Compound: TlInAg
Source: the Alexandria database
Functional: PBE
Structure: relaxed

Cell and atoms, written as POSCAR:
```
TlInAg
1.0
-2.4757 2.1999 -0.5862
0.7289 -0.9123 3.1468
9.8945 11.4051 1.0145
In Ag Tl
2 2 2
Direct
0.6069 0.2138 0.0000
0.2802 0.5603 0.5000
0.6135 0.2270 0.3527
0.6135 0.2270 0.6473
0.2763 0.5526 0.8108
0.2763 0.5526 0.1892
```

Output
The value obtained for the energy above the most stable polymorph in this dataset is 53 meV per atom. As for the space group: Amm2.

Compound: Tl3In12Ag
Source: the Alexandria database
Functional: PBE
Structure: relaxed

Cell and atoms, written as POSCAR:
```
Tl3In12Ag
1.0
-0.6386 4.5167 0.3321
-2.0809 -0.5905 4.0299
18.1909 1.8612 9.6657
Tl In Ag
3 12 1
Direct
0.0000 0.0000 0.2426
0.0000 0.0000 0.5000
0.0000 0.0000 0.7574
0.5000 0.5000 0.0000
0.5000 0.5000 0.2400
0.5000 0.5000 0.5000
0.5000 0.5000 0.7600
0.5000 0.0000 0.1107
0.5000 0.0000 0.3714
0.5000 0.0000 0.6286
0.5000 0.0000 0.8893
0.0000 0.5000 0.1107
0.0000 0.5000 0.3714
0.0000 0.5000 0.6286
0.0000 0.5000 0.8893
0.0000 0.0000 0.0000
```

Output
As for the space group: P4/mmm.

Compound: TlIn2Ag
Source: the Alexandria database
Functional: PBE
Structure: relaxed

Cell and atoms, written as POSCAR:
```
TlIn2Ag
1.0
4.4110 0.0000 0.0000
0.0000 4.4110 0.0000
2.2055 2.2055 10.8539
Tl Ag In
2 2 4
Direct
0.0000 0.0000 0.0000
0.7500 0.2500 0.5000
0.5000 0.5000 0.0000
0.2500 0.7500 0.5000
0.6122 0.1250 0.2500
0.1378 0.6250 0.2500
0.3750 0.3878 0.7500
0.8750 0.8622 0.7500
```

Output
As for the space group: I-42d.

Compound: Tl5In2Ag
Source: the Alexandria database
Functional: PBE
Structure: relaxed

Cell and atoms, written as POSCAR:
```
Tl5In2Ag
1.0
3.5064 0.0000 0.0000
-1.7532 6.3037 0.0000
0.0000 0.0000 20.5230
Tl In Ag
10 4 2
Direct
0.9361 0.8723 0.8892
0.9361 0.8723 0.6108
0.3614 0.7228 0.4725
0.3614 0.7228 0.0275
0.4700 0.9399 0.2500
0.5300 0.0601 0.7500
0.6386 0.2772 0.5275
0.6386 0.2772 0.9725
0.0639 0.1277 0.1108
0.0639 0.1277 0.3892
0.7889 0.5778 0.3423
0.7889 0.5778 0.1577
0.2111 0.4222 0.6577
0.2111 0.4222 0.8423
0.8229 0.6459 0.7500
0.1771 0.3541 0.2500
```

Output
As for the space group: Cmcm.

Compound: Tl2In2Ag
Source: the Alexandria database
Functional: PBE
Structure: relaxed

Cell and atoms, written as POSCAR:
```
Tl2In2Ag
1.0
-1.0739 0.7654 -3.9252
-1.2974 -3.9111 -0.4077
-9.0171 0.7543 0.4299
Tl Ag In
2 1 2
Direct
0.4094 0.4094 0.1813
0.5906 0.5906 0.8187
0.0000 0.0000 0.0000
0.7500 0.2500 0.5000
0.2500 0.7500 0.5000
```

Output
The value obtained for the energy above the most stable polymorph in this dataset is 181 meV per atom. As for the space group: I4/mmm.

Compound: TlIn8Ag2
Source: the Alexandria database
Functional: PBE
Structure: relaxed

Cell and atoms, written as POSCAR:
```
TlIn8Ag2
1.0
5.6384 0.8136 0.5374
0.5155 6.9231 -2.8295
0.4744 0.4039 7.4708
Tl In Ag
1 8 2
Direct
0.5000 0.0000 0.0000
0.8888 0.0784 0.3233
0.8888 0.3233 0.0784
0.3254 0.3750 0.3750
0.5000 0.2615 0.7385
0.5000 0.7385 0.2615
0.6746 0.6250 0.6250
0.1112 0.6767 0.9216
0.1112 0.9216 0.6767
0.0000 0.6842 0.3158
0.0000 0.3158 0.6842
```

Output
As for the space group: C2/m.

Compound: Tl3In4Ag
Source: the Alexandria database
Functional: PBE
Structure: relaxed

Cell and atoms, written as POSCAR:
```
Tl3In4Ag
1.0
-3.0356 1.1237 -1.0630
-0.2080 -2.6165 -2.1721
-8.3927 -10.2419 13.1408
Tl Ag In
3 1 4
Direct
0.5000 0.5000 0.2329
0.5000 0.5000 0.5000
0.5000 0.5000 0.7671
0.5000 0.5000 0.0000
0.0000 0.0000 0.9015
0.0000 0.0000 0.0985
0.0000 0.0000 0.3668
0.0000 0.0000 0.6332
```

Output
As for the space group: P4/mmm.

Compound: TlIn2Ag
Source: the Alexandria database
Functional: PBE
Structure: relaxed

Cell and atoms, written as POSCAR:
```
TlIn2Ag
1.0
-0.5266 -3.1649 -0.9859
0.1834 -1.0246 3.1913
-8.8762 1.1982 0.8949
Tl Ag In
1 1 2
Direct
0.5000 0.5000 0.2500
0.5000 0.5000 0.7500
0.0000 0.0000 0.9595
0.0000 0.0000 0.5405
```

Output
As for the space group: P4/mmm.

Compound: TlIn3Ag3
Source: the Alexandria database
Functional: PBE
Structure: relaxed

Cell and atoms, written as POSCAR:
```
TlIn3Ag3
1.0
7.7345 0.0000 0.0000
0.0000 7.7345 0.0000
0.0000 0.0000 7.7345
Tl Ag In
2 6 6
Direct
0.5000 0.5000 0.5000
0.0000 0.0000 0.0000
0.2500 0.0000 0.5000
0.0000 0.5000 0.2500
0.5000 0.7500 0.0000
0.7500 0.0000 0.5000
0.0000 0.5000 0.7500
0.5000 0.2500 0.0000
0.0000 0.2500 0.5000
0.0000 0.7500 0.5000
0.5000 0.0000 0.7500
0.7500 0.5000 0.0000
0.5000 0.0000 0.2500
0.2500 0.5000 0.0000
```

Output
As for the space group: Pm-3n.

Compound: Tl3In8Ag3
Source: the Alexandria database
Functional: PBE
Structure: relaxed

Cell and atoms, written as POSCAR:
```
Tl3In8Ag3
1.0
-3.0603 1.5866 3.4370
4.4159 -1.0344 7.8566
2.7397 8.4129 2.0030
Tl In Ag
3 8 3
Direct
0.5000 0.5000 0.5000
0.7848 0.2152 0.2152
0.2152 0.7848 0.7848
0.6368 0.0611 0.6653
0.3632 0.9389 0.3347
0.6368 0.6653 0.0611
0.3632 0.3347 0.9389
0.8669 0.7716 0.4945
0.1331 0.2284 0.5055
0.8669 0.4945 0.7716
0.1331 0.5055 0.2284
0.5000 0.0000 0.0000
0.0000 0.8572 0.1428
0.0000 0.1428 0.8572
```

Output
As for the space group: Immm.

Compound: TlInAg
Source: the Alexandria database
Functional: PBE
Structure: relaxed

Cell and atoms, written as POSCAR:
```
TlInAg
1.0
5.0551 0.0000 0.0000
-2.5275 4.3778 0.0000
0.0000 0.0000 3.4137
Tl Ag In
1 1 1
Direct
0.3333 0.6667 0.6697
0.0000 0.0000 0.1573
0.6667 0.3333 0.1730
```

Output
The value obtained for the energy above the most stable polymorph in this dataset is 60 meV per atom. As for the space group: P3m1.

no.,size of the total moment (μB per formula unit),ΔE_f (meV/atom),E (eV/f.u.)
1,0.0,79.6,-12.663
2,0.0,37.2,-7.844
3,0.0,67.9,-10.423
4,0.0,67.0,-7.755
5,0.0,44.5,-13.323
6,0.0,44.3,-37.684
7,0.0,52.1,-10.486
8,0.0,93.0,-10.322
9,0.0,88.9,-10.339
10,0.0,46.9,-21.273
11,0.0,46.6,-10.508
12,0.0,67.2,-23.409
13,0.0,-24.7,-36.226
14,0.0,89.8,-7.686
15,0.0,38.0,-42.204
16,0.0,123.6,-10.200
17,0.0,25.7,-19.954
18,0.0,218.2,-11.970
19,0.0,46.4,-29.466
20,0.0,25.5,-20.700
21,0.0,23.9,-10.599
22,0.0,337.0,-16.776
23,0.0,31.7,-37.116
24,0.0,97.4,-7.664